Computed, not measured: a relaxed ZnCd2Ag crystal at the PBE-GGA level of DFT.

```
ZnCd2Ag
1.0
1.520 -2.666 0.000
1.520 2.666 0.000
0.000 0.000 9.689
Zn Cd Ag
1 2 1
Cartesian
0.000 0.000 0.000 Zn
1.520 0.000 2.402 Cd
1.520 0.000 7.287 Cd
0.000 0.000 4.845 Ag
```



Computed, not measured: a relaxed Li3Tb3ZrS8 crystal at the PBE-GGA level of DFT.

```
Li3Tb3ZrS8
1.0
3.903 2.253 6.162
-3.903 2.253 6.162
0.000 -4.506 6.162
Li Tb Zr S
3 3 1 8
Cartesian
-1.951 -1.127 6.162 Li
-1.951 1.127 12.325 Li
0.000 2.253 6.162 Li
-3.903 0.000 9.243 Tb
-1.951 1.127 3.081 Tb
1.951 1.127 3.081 Tb
0.000 0.000 9.243 Zr
0.000 0.000 4.633 S
0.000 -2.132 7.755 S
-1.846 1.066 7.755 S
-1.846 -1.066 10.732 S
1.846 1.066 7.755 S
1.846 -1.066 10.732 S
0.000 2.132 10.732 S
0.000 0.000 13.854 S
```



Computed, not measured: a relaxed Mg2AsRh crystal at the PBE-GGA level of DFT.

```
Mg2AsRh
1.0
2.856 -3.769 0.000
2.856 3.769 0.000
0.000 0.000 3.094
Mg As Rh
2 1 1
Cartesian
1.428 1.884 0.000 Mg
1.428 -1.884 0.000 Mg
0.000 0.000 1.547 As
2.856 0.000 1.547 Rh
```



Computed, not measured: a relaxed Y4TaN5 crystal at the PBE-GGA level of DFT.

```
Y4TaN5
1.0
-3.775 3.775 2.441
3.775 -3.775 2.441
3.775 3.775 -2.441
Y Ta N
4 1 5
Cartesian
5.274 0.766 0.000 Y
0.766 2.276 0.000 Y
3.009 1.499 2.441 Y
-1.499 3.009 2.441 Y
0.000 0.000 2.253 Ta
0.000 0.000 0.244 N
3.075 1.683 -0.013 N
2.092 -0.700 2.427 N
1.683 4.475 -0.013 N
0.700 2.092 2.427 N
```



Computed, not measured: a relaxed Sc5TiIr6 crystal at the PBE-GGA level of DFT.

```
Sc5TiIr6
1.0
-2.218 3.378 6.635
2.218 -3.378 6.635
2.218 3.378 -6.635
Sc Ti Ir
5 1 6
Cartesian
0.000 0.000 0.000 Sc
2.218 0.000 2.187 Sc
0.000 0.000 4.392 Sc
0.000 0.000 8.877 Sc
0.000 3.378 4.448 Sc
0.000 3.378 0.000 Ti
2.218 -1.642 4.472 Ir
2.218 1.784 0.000 Ir
0.000 1.736 2.163 Ir
2.218 1.642 4.472 Ir
0.000 1.595 6.635 Ir
0.000 5.021 2.163 Ir
```



Computed, not measured: a relaxed BeVBr3 crystal at the PBE-GGA level of DFT.

distance to the lowest polymorph of the same formula = 32 meV/atom

```
BeVBr3
1.0
5.130 0.000 0.000
0.000 5.130 0.000
0.000 0.000 5.130
Be V Br
1 1 3
Cartesian
0.000 0.000 0.000 Be
2.565 2.565 2.565 V
0.000 2.565 2.565 Br
2.565 0.000 2.565 Br
2.565 2.565 0.000 Br
```



Uncorrected energy (computed, eV per atom): -1.427, -5.862, -4.174, -9.482, -8.718, -3.438